Here is a relaxed MoAs2Rh crystal from Alexandria via LeMat-Bulk. Energies are from PBE-GGA.

POSCAR file:
```
MoAs2Rh
1.0
8.008 0.007 0.004
7.424 3.003 0.004
7.424 1.448 2.631
As Mo Rh
2 1 1
direct
0.500 0.500 0.500
0.000 0.000 0.000
0.250 0.250 0.250
0.750 0.750 0.750
```

Properties
energy of formation: -0.05 eV/atom
DOS(E_F): 1.250 states/eV/atom

***

Here is a relaxed MoAsRh crystal from Alexandria via LeMat-Bulk. Energies are from PBE-GGA.

POSCAR file:
```
MoAsRh
1.0
4.678 0.002 0.003
2.084 4.188 -0.003
-2.970 -2.758 2.332
Mo Rh As
1 1 1
direct
0.328 0.328 0.000
0.672 0.672 0.000
0.000 0.000 0.000
```

Properties
energy of formation: 0.00 eV/atom
DOS(E_F): 0.796 states/eV/atom

***

Here is a relaxed MoAsRh2 crystal from Alexandria via LeMat-Bulk. Energies are from PBE-GGA.

POSCAR file:
```
MoAsRh2
1.0
6.112 0.006 0.017
-2.389 4.091 -0.017
1.333 0.777 2.392
Mo Rh As
1 2 1
direct
0.500 0.500 0.000
0.000 0.000 0.000
0.500 0.000 0.500
0.000 0.500 0.500
```

Properties
energy of formation: -0.03 eV/atom
DOS(E_F): 0.920 states/eV/atom